# 1
Computed, not measured: a relaxed MgReHg4 crystal at the PBE level of DFT.

Computed properties:
The total DFT energy (no corrections) is -9.99 eV/cell. As for the total magnetization: 2.7 μB/f.u.

abc: 5.7015 5.7015 5.7015
angles: 60.00 60.00 60.00
With the nearest neighbours (Å) after each atom.
Positions (direct):
Mg (0.0000, 0.0000, 0.0000)  12 Hg 3.34, 4 Re 3.49
Re (0.7500, 0.7500, 0.7500)  12 Hg 3.34, 4 Mg 3.49
Hg (0.3753, 0.3753, 0.3753)  6 Hg 2.84-2.86
Hg (0.3753, 0.3753, 0.8741)  6 Hg 2.84-2.86
Hg (0.3753, 0.8741, 0.3753)  6 Hg 2.84-2.86
Hg (0.8741, 0.3753, 0.3753)  6 Hg 2.84-2.86

***

# 2
Computed, not measured: a relaxed Mg2ReHg crystal at the PBE level of DFT.

Computed properties:
The total DFT energy (no corrections) is -14.90 eV/cell. As for the total magnetization: 0.0 μB/f.u.

abc: 5.1100 5.1100 2.9038
angles: 90.00 90.00 109.14
With the nearest neighbours (Å) after each atom.
Positions (direct):
Mg (0.0000, 0.5000, 0.0000)  4 Mg 2.90-2.96, 4 Hg 2.94, 4 Re 2.94
Mg (0.5000, 0.0000, 0.0000)  4 Mg 2.90-2.96, 4 Hg 2.94, 4 Re 2.94
Re (0.0000, 0.0000, 0.5000)  2 Re 2.90, 8 Mg 2.94, 2 Hg 2.96
Hg (0.5000, 0.5000, 0.5000)  2 Hg 2.90, 8 Mg 2.94, 2 Re 2.96

***

# 3
Computed, not measured: a relaxed Mg2ReHg crystal at the PBE level of DFT.

Computed properties:
The total DFT energy (no corrections) is -14.77 eV/cell. As for the total magnetization: 0.0 μB/f.u.

abc: 2.8865 4.1796 5.9858
angles: 90.00 90.16 90.00
With the nearest neighbours (Å) after each atom.
Positions (direct):
Mg (0.0011, 0.0000, 0.2289)  3 Mg 2.74-2.89, 4 Re 2.89, 4 Hg 3.01-3.02
Mg (0.9989, 0.0000, 0.7711)  3 Mg 2.74-2.89, 4 Re 2.89, 4 Hg 3.01-3.02
Re (0.5000, 0.5000, 0.0000)  8 Mg 2.89, 2 Re 2.89, 2 Hg 2.99
Hg (0.5000, 0.5000, 0.5000)  2 Hg 2.89, 2 Re 2.99, 8 Mg 3.01-3.02

***

# 4
Computed, not measured: a relaxed MgRe3Hg crystal at the PBE level of DFT.

Computed properties:
Its energy above the lowest structure with this stoichiometry is 0.000 eV per atom. As for the total magnetization: 0.7 μB/f.u.

abc: 4.5383 4.5383 4.5383
angles: 90.00 90.00 90.00
With the nearest neighbours (Å) after each atom.
Positions (direct):
Mg (0.0000, 0.0000, 0.0000)  6 Re 2.27
Re (0.0000, 0.0000, 0.5000)  2 Mg 2.27
Re (0.0000, 0.5000, 0.0000)  2 Mg 2.27
Re (0.5000, 0.0000, 0.0000)  2 Mg 2.27
Hg (0.5000, 0.5000, 0.5000)  12 Re 3.21

***

# 5
Computed, not measured: a relaxed Mg2ReHg crystal at the PBE level of DFT.

Computed properties:
The total DFT energy (no corrections) is -14.46 eV/cell. As for the total magnetization: 0.0 μB/f.u.

abc: 4.9765 4.9765 5.3195
angles: 97.83 97.83 33.58
With the nearest neighbours (Å) after each atom.
Positions (direct):
Mg (0.2463, 0.2463, 0.2320)  6 Mg 2.87-3.18, 3 Re 2.87-2.88, 3 Hg 2.91-2.99
Mg (0.7537, 0.7537, 0.7680)  6 Mg 2.87-3.18, 3 Re 2.87-2.88, 3 Hg 2.91-2.99
Re (0.5000, 0.5000, 0.0000)  6 Mg 2.87-2.88, 2 Re 2.87, 4 Hg 3.02
Hg (0.0000, 0.0000, 0.5000)  2 Hg 2.87, 6 Mg 2.91-2.99, 4 Re 3.02

***

# 6
Computed, not measured: a relaxed MgRe4Hg crystal at the PBE level of DFT.

Computed properties:
The total DFT energy (no corrections) is -48.43 eV/cell. As for the total magnetization: 0.0 μB/f.u.

abc: 5.2785 5.2785 5.2785
angles: 60.00 60.00 60.00
With the nearest neighbours (Å) after each atom.
Positions (direct):
Mg (0.0000, 0.0000, 0.0000)  12 Re 3.10, 4 Hg 3.23
Re (0.1254, 0.6249, 0.6249)  6 Re 2.64
Re (0.6249, 0.1254, 0.6249)  6 Re 2.64
Re (0.6249, 0.6249, 0.1254)  6 Re 2.64
Re (0.6249, 0.6249, 0.6249)  6 Re 2.64
Hg (0.2500, 0.2500, 0.2500)  12 Re 3.09, 4 Mg 3.23